# YSb4Cl (GGA-PBE, relaxed)
data_YSb4Cl
_chemical_formula_sum 'Y4 Sb16 Cl4'
_symmetry_space_group_name_H-M 'F -4 3 m'
_symmetry_Int_Tables_number 216
_symmetry_space_group_name_Hall 'F -4 2 3'
_cell_length_a 8.783
_cell_length_b 8.783
_cell_length_c 8.783
_cell_angle_alpha 90.00
_cell_angle_beta 90.00
_cell_angle_gamma 90.00
loop_
_atom_site_label
_atom_site_type_symbol
_atom_site_fract_x
_atom_site_fract_y
_atom_site_fract_z
_atom_site_occupancy
Y1 Y 0.000 0.000 0.000 1
Sb1 Sb 0.125 0.125 0.375 1
Cl1 Cl 0.250 0.250 0.750 1
# formation energy from raw total energies = -253 meV per atom
# D(E_F) = 5.723 states/eV/cell